A plane-wave DFT calculation with GGA-PBE was carried out for crystalline HfFeIrOs2 at its relaxed geometry.

Results
The uncorrected energy is -36.85 eV for the cell shown. The calculation puts the formation energy at 2.58 eV/atom. Its space group is P4/mmm.

Lattice parameters (Å, degrees): 4.760 4.725 4.760 90.00 90.00 90.00
Last column: magnetic moment on the atom in μB.
Fractional coordinates of all 5 atoms:
Os  0.000  0.000  0.500  -0.12
Fe  0.500  0.500  0.500  0.14
Os  0.500  0.000  0.000  -0.11
Ir  0.000  0.500  0.000  0.05
Hf  0.000  0.000  0.000  0.02